# LuPd4Pt (GGA-PBE, relaxed)
data_LuPd4Pt
_space_group_name_H-M_alt 'F -4 3 m'
_space_group_IT_number 216
_space_group_name_Hall 'F -4 2 3'
_cell_length_a 7.4353
_cell_length_b 7.4353
_cell_length_c 7.4353
_cell_angle_alpha 90.00
_cell_angle_beta 90.00
_cell_angle_gamma 90.00
loop_
_atom_site_label
_atom_site_type_symbol
_atom_site_fract_x
_atom_site_fract_y
_atom_site_fract_z
_atom_site_occupancy
Lu1 Lu 0.0000 0.0000 0.0000 1
Pd1 Pd 0.1244 0.1244 0.3756 1
Pt1 Pt 0.2500 0.2500 0.7500 1
# * N(E_F): 8.074 states/eV/f.u.
# * total energy: -5.703 eV/atom
# * magnetization: 0.01 μB per formula unit

***

# LuPd2Pt (GGA-PBE, relaxed)
data_LuPd2Pt
_space_group_name_H-M_alt 'P 4/m m m'
_space_group_IT_number 123
_space_group_name_Hall '-P 4 2'
_cell_length_a 4.0831
_cell_length_b 4.0831
_cell_length_c 4.0631
_cell_angle_alpha 90.00
_cell_angle_beta 90.00
_cell_angle_gamma 90.00
loop_
_atom_site_label
_atom_site_type_symbol
_atom_site_fract_x
_atom_site_fract_y
_atom_site_fract_z
_atom_site_occupancy
Lu1 Lu 0.0000 0.0000 0.0000 1
Pd1 Pd 0.0000 0.5000 0.5000 1
Pt1 Pt 0.5000 0.5000 0.0000 1
# * offset from the most stable computed form: 0.000 eV/atom
# * N(E_F): 5.263 states/eV/f.u.
# * total energy: -6.221 eV/atom
# * magnetization: 0.00 μB per formula unit

***

# LuPdPtRh (GGA-PBE, relaxed)
data_LuPdPtRh
_space_group_name_H-M_alt 'F -4 3 m'
_space_group_IT_number 216
_space_group_name_Hall 'F -4 2 3'
_cell_length_a 6.4789
_cell_length_b 6.4789
_cell_length_c 6.4789
_cell_angle_alpha 90.00
_cell_angle_beta 90.00
_cell_angle_gamma 90.00
loop_
_atom_site_label
_atom_site_type_symbol
_atom_site_fract_x
_atom_site_fract_y
_atom_site_fract_z
_atom_site_occupancy
Lu1 Lu 0.0000 0.0000 0.0000 1
Pd1 Pd 0.2500 0.2500 0.2500 1
Pt1 Pt 0.0000 0.0000 0.5000 1
Rh1 Rh 0.2500 0.2500 0.7500 1
# * N(E_F): 2.517 states/eV/f.u.
# * total energy: -6.440 eV/atom
# * magnetization: 0.00 μB per formula unit

***

# SmLuPdPt (GGA-PBE, relaxed)
data_SmLuPdPt
_space_group_name_H-M_alt 'F -4 3 m'
_space_group_IT_number 216
_space_group_name_Hall 'F -4 2 3'
_cell_length_a 7.0118
_cell_length_b 7.0118
_cell_length_c 7.0118
_cell_angle_alpha 90.00
_cell_angle_beta 90.00
_cell_angle_gamma 90.00
loop_
_atom_site_label
_atom_site_type_symbol
_atom_site_fract_x
_atom_site_fract_y
_atom_site_fract_z
_atom_site_occupancy
Sm1 Sm 0.0000 0.0000 0.0000 1
Lu1 Lu 0.0000 0.0000 0.5000 1
Pd1 Pd 0.2500 0.2500 0.7500 1
Pt1 Pt 0.2500 0.2500 0.2500 1
# * N(E_F): 3.289 states/eV/f.u.
# * total energy: -6.158 eV/atom
# * magnetization: 0.00 μB per formula unit

***

# LuSnPdPt (GGA-PBE, relaxed)
data_LuSnPdPt
_space_group_name_H-M_alt 'F -4 3 m'
_space_group_IT_number 216
_space_group_name_Hall 'F -4 2 3'
_cell_length_a 6.7257
_cell_length_b 6.7257
_cell_length_c 6.7257
_cell_angle_alpha 90.00
_cell_angle_beta 90.00
_cell_angle_gamma 90.00
loop_
_atom_site_label
_atom_site_type_symbol
_atom_site_fract_x
_atom_site_fract_y
_atom_site_fract_z
_atom_site_occupancy
Lu1 Lu 0.0000 0.0000 0.0000 1
Sn1 Sn 0.0000 0.0000 0.5000 1
Pd1 Pd 0.2500 0.2500 0.7500 1
Pt1 Pt 0.2500 0.2500 0.2500 1
# * N(E_F): 2.413 states/eV/f.u.
# * total energy: -5.878 eV/atom
# * magnetization: 0.00 μB per formula unit

***

# TbLuPdPt (GGA-PBE, relaxed)
data_TbLuPdPt
_space_group_name_H-M_alt 'F -4 3 m'
_space_group_IT_number 216
_space_group_name_Hall 'F -4 2 3'
_cell_length_a 6.9479
_cell_length_b 6.9479
_cell_length_c 6.9479
_cell_angle_alpha 90.00
_cell_angle_beta 90.00
_cell_angle_gamma 90.00
loop_
_atom_site_label
_atom_site_type_symbol
_atom_site_fract_x
_atom_site_fract_y
_atom_site_fract_z
_atom_site_occupancy
Tb1 Tb 0.0000 0.0000 0.0000 1
Lu1 Lu 0.0000 0.0000 0.5000 1
Pd1 Pd 0.2500 0.2500 0.2500 1
Pt1 Pt 0.2500 0.2500 0.7500 1
# * N(E_F): 3.042 states/eV/f.u.
# * total energy: -6.194 eV/atom
# * magnetization: 0.00 μB per formula unit

***

# LuThPdPt (GGA-PBE, relaxed)
data_LuThPdPt
_space_group_name_H-M_alt 'F -4 3 m'
_space_group_IT_number 216
_space_group_name_Hall 'F -4 2 3'
_cell_length_a 7.0989
_cell_length_b 7.0989
_cell_length_c 7.0989
_cell_angle_alpha 90.00
_cell_angle_beta 90.00
_cell_angle_gamma 90.00
loop_
_atom_site_label
_atom_site_type_symbol
_atom_site_fract_x
_atom_site_fract_y
_atom_site_fract_z
_atom_site_occupancy
Lu1 Lu 0.0000 0.0000 0.0000 1
Th1 Th 0.0000 0.0000 0.5000 1
Pd1 Pd 0.2500 0.2500 0.2500 1
Pt1 Pt 0.2500 0.2500 0.7500 1
# * N(E_F): 2.673 states/eV/f.u.
# * total energy: -6.776 eV/atom
# * magnetization: 0.00 μB per formula unit

***

# LuTiPdPt (GGA-PBE, relaxed)
data_LuTiPdPt
_space_group_name_H-M_alt 'F -4 3 m'
_space_group_IT_number 216
_space_group_name_Hall 'F -4 2 3'
_cell_length_a 6.6035
_cell_length_b 6.6035
_cell_length_c 6.6035
_cell_angle_alpha 90.00
_cell_angle_beta 90.00
_cell_angle_gamma 90.00
loop_
_atom_site_label
_atom_site_type_symbol
_atom_site_fract_x
_atom_site_fract_y
_atom_site_fract_z
_atom_site_occupancy
Lu1 Lu 0.0000 0.0000 0.0000 1
Ti1 Ti 0.0000 0.0000 0.5000 1
Pd1 Pd 0.2500 0.2500 0.7500 1
Pt1 Pt 0.2500 0.2500 0.2500 1
# * N(E_F): 2.892 states/eV/f.u.
# * total energy: -6.752 eV/atom
# * magnetization: 0.00 μB per formula unit